Computed, not measured: a relaxed structure of SrTbCr2O8 at the GGA+U level of DFT.

```
data_SrTbCr2O8
_chemical_formula_sum 'Sr1 Tb1 Cr2 O8'
_symmetry_space_group_name_H-M 'P 1'
_symmetry_Int_Tables_number 1
_symmetry_space_group_name_Hall 'P 1'
_cell_length_a 6.131
_cell_length_b 6.131
_cell_length_c 6.131
_cell_angle_alpha 105.93
_cell_angle_beta 105.93
_cell_angle_gamma 116.82
loop_
_atom_site_label
_atom_site_fract_x
_atom_site_fract_y
_atom_site_fract_z
O1 0.914 0.241 0.327
O2 0.914 0.588 0.673
O3 0.342 0.532 0.191
O4 0.849 0.658 0.191
O5 0.412 0.086 0.327
O6 0.759 0.086 0.673
O7 0.342 0.151 0.809
O8 0.468 0.658 0.809
Tb1 0.250 0.750 0.500
Cr1 0.500 0.500 0.000
Cr2 0.750 0.250 0.500
Sr1 0.000 0.000 0.000
```

Output
Final energy (eV per cell): -86.5
N(E_F) (states/eV/f.u.): 0.773